[1]
# RbLaAgHg

An optimized crystal structure of RbLaAgHg (PBE, the Alexandria database).

Computed properties:
**ΔH_f (0 K)**: -0.090 eV per atom
**E above lowest polymorph**: 36.7 kJ/mol of formula units
**V**: 31.9 A^3/atom
**Electronic total energy**: -2.3525 eV/atom

Cell: 3.676 5.878 5.900 Å, 90.00 90.00 90.00°
Fractional positions:
La (0.000, 0.500, 0.500)
Hg (0.500, 0.000, 0.500)
Ag (0.500, 0.500, 0.000)
Rb (0.000, 0.000, 0.000)

[2]
# Tm2Ni4Ge3Ir

An optimized crystal structure of Tm2Ni4Ge3Ir (PBE, the Alexandria database).

Computed properties:
**ΔH_f (0 K)**: -0.585 eV per atom
**V**: 15.8 A^3/atom
**Electronic total energy**: -6.0629 eV/atom

Cell: 3.914 3.914 10.321 Å, 90.00 90.00 90.00°
Fractional positions:
Ni (0.500, 0.000, 0.647)
Ni (0.000, 0.000, 0.000)
Ni (0.000, 0.500, 0.353)
Ni (0.500, 0.500, 0.000)
Ge (0.000, 0.000, 0.500)
Ge (0.000, 0.500, 0.130)
Ge (0.500, 0.000, 0.870)
Tm (0.500, 0.000, 0.250)
Tm (0.000, 0.500, 0.750)
Ir (0.500, 0.500, 0.500)

[3]
# Li2As

An optimized crystal structure of Li2As (PBE, the Alexandria database).

Computed properties:
**ΔH_f (0 K)**: -0.614 eV per atom
**E above lowest polymorph**: 5.2 kJ/mol of formula units
**V**: 15.4 A^3/atom
**Electronic total energy**: -3.4393 eV/atom

Cell: 3.038 3.894 4.631 Å, 114.86 109.15 90.00°
Fractional positions:
Li (0.339, 0.839, 0.678)
Li (0.661, 0.161, 0.322)
As (0.000, 0.500, 0.000)

[4]
# Pm2PuBi

An optimized crystal structure of Pm2PuBi (PBE, the Alexandria database).

Computed properties:
**ΔH_f (0 K)**: -0.313 eV per atom
**E above lowest polymorph**: 0.0 kJ/mol of formula units
**V**: 29.7 A^3/atom
**Electronic total energy**: -7.2420 eV/atom

Cell: 4.657 5.049 5.049 Å, 90.00 90.00 90.00°
Fractional positions:
Pm (0.000, 0.500, 0.000)
Pm (0.000, 0.000, 0.500)
Bi (0.500, 0.500, 0.500)
Pu (0.500, 0.000, 0.000)

[5]
# ZrScTl2

An optimized crystal structure of ZrScTl2 (PBE, the Alexandria database).

Computed properties:
**ΔH_f (0 K)**: 0.312 eV per atom
**V**: 25.4 A^3/atom
**Electronic total energy**: -4.5912 eV/atom

Cell: 5.240 5.240 5.240 Å, 60.00 60.00 60.00°
Fractional positions:
Tl (0.000, 0.000, 0.000)
Tl (0.250, 0.250, 0.250)
Sc (0.500, 0.500, 0.500)
Zr (0.750, 0.750, 0.750)

[6]
# LaGaHgS2

An optimized crystal structure of LaGaHgS2 (PBE, the Alexandria database).

Computed properties:
**Formation energy from raw total energies**: -0.42 eV/atom
**V**: 37.4 A^3/atom
**Electronic total energy**: -3.7210 eV/atom

Cell: 5.504 6.166 5.504 Å, 90.00 90.00 90.00°
Fractional positions:
S (0.000, 0.000, 0.500)
S (0.500, 0.000, 0.000)
Hg (0.000, 0.500, 0.000)
Ga (0.500, 0.500, 0.500)
La (0.000, 0.000, 0.000)

[7]
# TiNb2Rh4

An optimized crystal structure of TiNb2Rh4 (PBE, the Alexandria database).

Computed properties:
**ΔH_f (0 K)**: -0.379 eV per atom
**E above lowest polymorph**: 0.0 kJ/mol of formula units
**V**: 16.2 A^3/atom
**Electronic total energy**: -8.5850 eV/atom

Cell: 4.120 4.756 12.854 Å, 90.00 90.00 115.67°
Fractional positions:
Rh (0.112, 0.224, 0.636)
Rh (0.285, 0.570, 0.250)
Rh (0.715, 0.430, 0.750)
Rh (0.888, 0.776, 0.136)
Rh (0.888, 0.776, 0.364)
Rh (0.500, 0.000, 0.000)
Rh (0.112, 0.224, 0.864)
Rh (0.500, 0.000, 0.500)
Ti (0.423, 0.846, 0.750)
Ti (0.577, 0.154, 0.250)
Nb (0.172, 0.345, 0.431)
Nb (0.172, 0.345, 0.069)
Nb (0.828, 0.655, 0.569)
Nb (0.828, 0.655, 0.931)

[8]
# K4CoIr3S8

An optimized crystal structure of K4CoIr3S8 (PBE, the Alexandria database).

Computed properties:
**Formation energy from raw total energies**: -0.68 eV/atom
**V**: 20.0 A^3/atom
**Electronic total energy**: -5.1217 eV/atom

Cell: 7.395 7.993 7.395 Å, 117.56 120.00 90.00°
Fractional positions:
S (0.729, 0.662, 0.946)
S (0.271, 0.338, 0.054)
S (0.783, 0.338, 0.567)
S (0.722, 0.665, 0.443)
S (0.217, 0.662, 0.946)
S (0.783, 0.338, 0.054)
S (0.217, 0.662, 0.433)
S (0.278, 0.335, 0.557)
K (0.000, 0.000, 0.500)
K (0.500, 0.000, 0.500)
K (0.500, 0.000, 0.000)
K (0.000, 0.000, 0.000)
Ir (0.500, 0.500, 0.000)
Ir (0.000, 0.500, 0.500)
Ir (0.500, 0.500, 0.500)
Co (0.000, 0.500, 0.000)

[9]
# LaCrIr2

An optimized crystal structure of LaCrIr2 (PBE, the Alexandria database).

Computed properties:
**ΔH_f (0 K)**: -0.009 eV per atom
**E above lowest polymorph**: 83.4 kJ/mol of formula units
**V**: 18.8 A^3/atom
**Electronic total energy**: -8.0771 eV/atom

Cell: 4.565 3.012 5.529 Å, 81.15 90.00 90.00°
Fractional positions:
Cr (0.500, 0.716, 0.863)
La (0.000, 0.551, 0.453)
Ir (0.000, 0.133, 0.941)
Ir (0.500, 0.100, 0.242)

[10]
# Zn2Cd2Ag5

An optimized crystal structure of Zn2Cd2Ag5 (PBE, the Alexandria database).

Computed properties:
**ΔH_f (0 K)**: 0.093 eV per atom
**E above lowest polymorph**: 92.1 kJ/mol of formula units
**V**: 19.8 A^3/atom
**Electronic total energy**: -1.9774 eV/atom

Cell: 2.934 9.364 7.236 Å, 65.64 90.00 99.01°
Fractional positions:
Zn (0.838, 0.677, 0.198)
Zn (0.162, 0.323, 0.802)
Ag (0.782, 0.564, 0.802)
Ag (0.218, 0.436, 0.198)
Ag (0.920, 0.840, 0.429)
Ag (0.000, 0.000, 0.000)
Ag (0.080, 0.160, 0.571)
Cd (0.577, 0.153, 0.220)
Cd (0.423, 0.847, 0.780)

[11]
# CaEr2Tl9

An optimized crystal structure of CaEr2Tl9 (PBE, the Alexandria database).

Computed properties:
**ΔH_f (0 K)**: -0.213 eV per atom
**V**: 27.4 A^3/atom
**Electronic total energy**: -2.9147 eV/atom

Cell: 4.784 4.784 14.357 Å, 90.00 90.00 90.00°
Fractional positions:
Tl (0.500, 0.500, 0.333)
Tl (0.000, 0.500, 0.829)
Tl (0.500, 0.000, 0.171)
Tl (0.000, 0.500, 0.171)
Tl (0.000, 0.500, 0.500)
Tl (0.500, 0.500, 0.000)
Tl (0.500, 0.000, 0.829)
Tl (0.500, 0.000, 0.500)
Tl (0.500, 0.500, 0.667)
Er (0.000, 0.000, 0.661)
Er (0.000, 0.000, 0.339)
Ca (0.000, 0.000, 0.000)

[12]
# SrTaAl3

An optimized crystal structure of SrTaAl3 (PBE, the Alexandria database).

Computed properties:
**ΔH_f (0 K)**: 0.201 eV per atom
**V**: 26.6 A^3/atom
**Electronic total energy**: -4.7517 eV/atom

Cell: 5.107 5.107 5.107 Å, 90.00 90.00 90.00°
Fractional positions:
Ta (0.000, 0.000, 0.000)
Al (0.500, 0.000, 0.000)
Al (0.000, 0.500, 0.000)
Al (0.000, 0.000, 0.500)
Sr (0.500, 0.500, 0.500)

[13]
# TbPm2Y6Ho

An optimized crystal structure of TbPm2Y6Ho (PBE, the Alexandria database).

Computed properties:
**ΔH_f (0 K)**: 0.113 eV per atom
**V**: 32.9 A^3/atom
**Electronic total energy**: -5.6365 eV/atom

Cell: 9.760 8.790 8.790 Å, 117.77 94.91 94.91°
Fractional positions:
Pm (0.456, 0.806, 0.706)
Pm (0.956, 0.706, 0.806)
Pm (0.544, 0.194, 0.294)
Pm (0.044, 0.294, 0.194)
Y (0.186, 0.574, 0.019)
Y (0.118, 0.706, 0.496)
Y (0.382, 0.504, 0.294)
Y (0.618, 0.496, 0.706)
Y (0.686, 0.019, 0.574)
Y (0.314, 0.981, 0.426)
Y (0.814, 0.426, 0.981)
Y (0.882, 0.294, 0.504)
Y (0.557, 0.747, 0.123)
Y (0.443, 0.253, 0.877)
Y (0.943, 0.877, 0.253)
Y (0.057, 0.123, 0.747)
Tb (0.250, 0.981, 0.019)
Tb (0.750, 0.019, 0.981)
Ho (0.250, 0.407, 0.593)
Ho (0.750, 0.593, 0.407)

[14]
# CaPm3Al8

An optimized crystal structure of CaPm3Al8 (PBE, the Alexandria database).

Computed properties:
**ΔH_f (0 K)**: -0.452 eV per atom
**E above lowest polymorph**: 11.7 kJ/mol of formula units
**V**: 21.4 A^3/atom
**Electronic total energy**: -4.3017 eV/atom

Cell: 5.666 5.666 9.225 Å, 90.00 90.00 120.00°
Fractional positions:
Al (0.333, 0.667, 0.998)
Al (0.162, 0.838, 0.248)
Al (0.505, 0.010, 0.751)
Al (0.990, 0.495, 0.751)
Al (0.162, 0.325, 0.248)
Al (0.505, 0.495, 0.751)
Al (0.675, 0.838, 0.248)
Al (0.333, 0.667, 0.501)
Ca (0.000, 0.000, 0.566)
Pm (0.000, 0.000, 0.931)
Pm (0.667, 0.333, 0.435)
Pm (0.667, 0.333, 0.070)

[15]
# Ca2DyGaSe5

An optimized crystal structure of Ca2DyGaSe5 (PBE, the Alexandria database).

Computed properties:
**Formation energy from raw total energies**: -1.55 eV/atom
**V**: 25.6 A^3/atom
**Electronic total energy**: -4.7789 eV/atom

Cell: 4.012 9.436 12.468 Å, 90.00 90.00 102.27°
Fractional positions:
Ca (0.122, 0.244, 0.323)
Ca (0.117, 0.233, 0.678)
Ca (0.883, 0.767, 0.178)
Ca (0.878, 0.756, 0.823)
Ga (0.443, 0.886, 0.434)
Ga (0.557, 0.114, 0.934)
Se (0.044, 0.088, 0.049)
Se (0.956, 0.912, 0.549)
Se (0.642, 0.284, 0.505)
Se (0.683, 0.365, 0.861)
Se (0.497, 0.993, 0.767)
Se (0.293, 0.587, 0.683)
Se (0.358, 0.716, 0.005)
Se (0.707, 0.413, 0.183)
Se (0.503, 0.007, 0.267)
Se (0.317, 0.635, 0.361)
Dy (0.793, 0.586, 0.525)
Dy (0.207, 0.414, 0.025)

[16]
# EuErO2

An optimized crystal structure of EuErO2 (PBE, the Alexandria database).

Computed properties:
**Formation energy from raw total energies**: -2.61 eV/atom
**V**: 19.6 A^3/atom
**Electronic total energy**: -8.8005 eV/atom

Cell: 3.707 3.707 6.938 Å, 74.51 74.51 60.00°
Fractional positions:
Eu (0.500, 0.500, 0.500)
Er (0.000, 0.000, 0.000)
O (0.107, 0.107, 0.679)
O (0.893, 0.893, 0.321)

[17]
# RbScPb

An optimized crystal structure of RbScPb (PBE, the Alexandria database).

Computed properties:
**ΔH_f (0 K)**: 0.087 eV per atom
**E above lowest polymorph**: 93.8 kJ/mol of formula units
**V**: 38.6 A^3/atom
**Electronic total energy**: -3.5821 eV/atom

Cell: 7.507 3.567 9.594 Å, 79.29 66.97 90.00°
Fractional positions:
Rb (0.676, 0.676, 0.649)
Rb (0.324, 0.324, 0.351)
Sc (0.914, 0.414, 0.173)
Sc (0.086, 0.586, 0.827)
Pb (0.723, 0.000, 0.000)
Pb (0.277, 0.000, 0.000)

[18]
# K2Pd3S2

An optimized crystal structure of K2Pd3S2 (PBE, the Alexandria database).

Computed properties:
**Formation energy from raw total energies**: -0.26 eV/atom
**V**: 24.5 A^3/atom
**Electronic total energy**: -3.9809 eV/atom

Cell: 16.810 16.469 6.674 Å, 81.31 75.58 23.11°
Fractional positions:
Pd (0.125, 0.125, 0.125)
Pd (0.454, 0.761, 0.300)
Pd (0.125, 0.125, 0.625)
Pd (0.485, 0.300, 0.761)
Pd (0.796, 0.489, 0.950)
Pd (0.125, 0.625, 0.125)
Pd (0.300, 0.485, 0.454)
Pd (0.765, 0.950, 0.489)
Pd (0.761, 0.454, 0.485)
Pd (0.489, 0.796, 0.765)
Pd (0.625, 0.125, 0.125)
Pd (0.950, 0.765, 0.796)
S (0.596, 0.285, 0.946)
S (0.285, 0.596, 0.173)
S (0.304, 0.077, 0.654)
S (0.946, 0.173, 0.596)
S (0.173, 0.946, 0.285)
S (0.965, 0.654, 0.077)
S (0.077, 0.304, 0.965)
S (0.654, 0.965, 0.304)
K (0.505, 0.900, 0.149)
K (0.101, 0.804, 0.745)
K (0.446, 0.149, 0.900)
K (0.804, 0.101, 0.350)
K (0.745, 0.350, 0.101)
K (0.900, 0.505, 0.446)
K (0.350, 0.745, 0.804)
K (0.149, 0.446, 0.505)

[19]
# LuTlSn

An optimized crystal structure of LuTlSn (PBE, the Alexandria database).

Computed properties:
**ΔH_f (0 K)**: -0.191 eV per atom
**E above lowest polymorph**: 0.0 kJ/mol of formula units
**V**: 26.8 A^3/atom
**Electronic total energy**: -3.8214 eV/atom

Cell: 3.468 5.173 5.173 Å, 120.00 90.00 90.00°
Fractional positions:
Sn (0.035, 0.000, 0.000)
Tl (0.320, 0.333, 0.667)
Lu (0.645, 0.667, 0.333)

[20]
# K2ReI2

An optimized crystal structure of K2ReI2 (PBE, the Alexandria database).

Computed properties:
**Formation energy from raw total energies**: 0.36 eV/atom
**E above lowest polymorph**: 0.0 kJ/mol of formula units
**V**: 41.7 A^3/atom
**Electronic total energy**: -3.1870 eV/atom

Cell: 9.812 9.812 4.329 Å, 90.00 90.00 90.00°
Fractional positions:
Re (0.500, 0.500, 0.000)
Re (0.000, 0.000, 0.000)
I (0.157, 0.657, 0.500)
I (0.843, 0.343, 0.500)
I (0.657, 0.843, 0.500)
I (0.343, 0.157, 0.500)
K (0.357, 0.857, 0.000)
K (0.857, 0.643, 0.000)
K (0.143, 0.357, 0.000)
K (0.643, 0.143, 0.000)

[21]
# LaZrO3

An optimized crystal structure of LaZrO3 (PBE, the Alexandria database).

Computed properties:
**Formation energy from raw total energies**: -2.73 eV/atom
**V**: 15.3 A^3/atom
**Electronic total energy**: -8.3967 eV/atom

Cell: 5.139 5.770 5.770 Å, 116.61 90.00 90.00°
Fractional positions:
La (0.750, 0.639, 0.361)
La (0.250, 0.361, 0.639)
O (0.250, 0.822, 0.178)
O (0.750, 0.663, 0.781)
O (0.750, 0.219, 0.337)
O (0.750, 0.178, 0.822)
O (0.250, 0.337, 0.219)
O (0.250, 0.781, 0.663)
Zr (0.500, 0.000, 0.000)
Zr (0.000, 0.000, 0.000)

[22]
# KDyPb2

An optimized crystal structure of KDyPb2 (PBE, the Alexandria database).

Computed properties:
**ΔH_f (0 K)**: -0.195 eV per atom
**E above lowest polymorph**: 42.7 kJ/mol of formula units
**V**: 33.4 A^3/atom
**Electronic total energy**: -3.4745 eV/atom

Cell: 3.772 3.772 11.073 Å, 80.19 80.19 60.00°
Fractional positions:
Pb (0.256, 0.256, 0.231)
Pb (0.744, 0.744, 0.769)
Dy (0.000, 0.000, 0.000)
K (0.500, 0.500, 0.500)

[23]
# NbCo2Cl

An optimized crystal structure of NbCo2Cl (PBE, the Alexandria database).

Computed properties:
**Formation energy from raw total energies**: 0.61 eV/atom
**E above lowest polymorph**: 0.0 kJ/mol of formula units
**V**: 17.6 A^3/atom
**Electronic total energy**: -5.9212 eV/atom

Cell: 5.586 5.586 5.987 Å, 62.19 62.19 90.00°
Fractional positions:
Nb (0.000, 0.000, 0.000)
Nb (0.750, 0.250, 0.500)
Cl (0.250, 0.750, 0.500)
Cl (0.500, 0.500, 0.000)
Co (0.875, 0.848, 0.750)
Co (0.598, 0.125, 0.250)
Co (0.375, 0.402, 0.750)
Co (0.152, 0.625, 0.250)